# 1
Here is a geometry-optimized FeCo2P structure from Alexandria via LeMat-Bulk. Energies are from PBE-GGA.

The structure in POSCAR format:
```
FeCo2P
1.0
4.444 -1.371 0.000
4.444 1.371 0.000
-1.769 0.000 3.550
Fe Co P
1 2 1
direct
0.000 0.000 0.000
0.224 0.224 0.730
0.443 0.443 0.443
0.726 0.726 0.249
```

The calculation puts the total energy at -7.2141 eV/atom.


# 2
Here is a geometry-optimized KSe3S structure from Alexandria via LeMat-Bulk. Energies are from PBE-GGA.

The structure in POSCAR format:
```
KSe3S
1.0
5.042 0.000 0.000
0.000 5.042 0.000
0.000 0.000 5.042
K Se S
1 3 1
direct
0.000 0.000 0.000
0.000 0.500 0.500
0.500 0.000 0.500
0.500 0.500 0.000
0.500 0.500 0.500
```

The value obtained for the offset from the most stable computed form is 0.307 eV per atom. The raw formation energy comes out at -0.031 eV per atom.


# 3
Here is a geometry-optimized NaPmSn2Te4 structure from Alexandria via LeMat-Bulk. Energies are from PBE-GGA.

The structure in POSCAR format:
```
NaPmSn2Te4
1.0
7.801 0.000 0.000
0.000 4.520 0.000
-2.548 0.000 7.518
Na Pm Sn Te
1 1 2 4
direct
0.000 0.000 0.000
0.500 0.500 0.000
0.000 0.500 0.500
0.500 0.000 0.500
0.256 0.000 0.752
0.258 0.500 0.251
0.742 0.500 0.749
0.744 0.000 0.248
```

The raw formation energy comes out at -0.757 eV per atom.


# 4
Here is a geometry-optimized LiNd3Ir8 structure from Alexandria via LeMat-Bulk. Energies are from PBE-GGA.

The structure in POSCAR format:
```
LiNd3Ir8
1.0
2.695 1.556 8.791
-2.695 1.556 8.791
0.000 -3.112 8.791
Li Nd Ir
1 3 8
direct
0.000 0.000 0.000
0.122 0.122 0.122
0.505 0.505 0.505
0.633 0.633 0.633
0.066 0.066 0.570
0.066 0.565 0.565
0.066 0.570 0.066
0.317 0.317 0.317
0.565 0.066 0.565
0.565 0.565 0.066
0.570 0.066 0.066
0.816 0.816 0.816
```

The calculation puts the total energy at -7.8055 eV/atom.